# 1
Entry from the Alexandria database: crystalline Y6Ho5Th2 at its relaxed geometry (PBE).

The value obtained for the magnetization is 0.0 Bohr magnetons per cell. The raw total energy is -150.0 eV per cell. For the density of states at the Fermi level, the calculation gives 1.487 states/eV per atom. The mass density comes out at 7.15 g/cm³. Its calculated volume is 846 Å³/cell. The value obtained for the formation enthalpy at 0 K is 0.117 eV per atom.

The space group is Pbam (No. 55) and the conventional cell measures 11.643, 20.315 and 3.577 Å, with angles of 90.00, 90.00 and 90.00 degrees. The inequivalent atoms are Y at (0.065, 0.073, 0.000), Y at (0.076, 0.360, 0.000), Y at (0.179, 0.626, 0.500), Ho at (0.000, 0.500, 0.500), Ho at (0.090, 0.217, 0.500), Ho at (0.198, 0.937, 0.500) and Th at (0.170, 0.776, 0.000).



# 2
Entry from the Alexandria database: crystalline TbCeTe2 at its relaxed geometry (PBE).

The value obtained for the magnetization is 7.9 Bohr magnetons per cell. The raw total energy is -86.7 eV per cell. For the density of states at the Fermi level, the calculation gives 1.617 states/eV per atom. The mass density comes out at 8.23 g/cm³. Its calculated volume is 447 Å³/cell. For the formation energy without anion corrections, the calculation gives -1.209 eV per atom. The relative energy among the computed polymorphs is 142 meV/atom.

The space group is Fm-3m (No. 225) and the conventional cell measures 7.647, 7.647 and 7.647 Å, with angles of 90.00, 90.00 and 90.00 degrees. The inequivalent atoms are Tb at (0.000, 0.000, 0.000), Ce at (0.000, 0.000, 0.500) and Te at (0.250, 0.250, 0.250).



# 3
Entry from the Alexandria database: crystalline Pm2Mg5Sc at its relaxed geometry (PBE).

The value obtained for the magnetization is 0.0 Bohr magnetons per cell. The raw total energy is -48.5 eV per cell. For the density of states at the Fermi level, the calculation gives 0.991 states/eV per atom. The mass density comes out at 3.66 g/cm³. Its calculated volume is 414 Å³/cell. The value obtained for the formation enthalpy at 0 K is -0.056 eV per atom.

The space group is I4/mmm (No. 139) and the conventional cell measures 5.121, 5.121 and 15.784 Å, with angles of 90.00, 90.00 and 90.00 degrees. The inequivalent atoms are Pm at (0.000, 0.000, 0.243), Mg at (0.000, 0.000, 0.000), Mg at (0.000, 0.500, 0.111) and Sc at (0.000, 0.000, 0.500).